{"formula": "BaMnTeN2", "functional": "PBE", "state": "relaxed", "formation_energy_uncorrected_ev_per_atom": 2.31, "crystal_system": "tetragonal", "de_polymorph_mev_per_atom": 1647.7, "dos_ef_per_ev_atom": 3.721, "cell": [[4.535, 0.000, 0.000], [0.000, 4.535, 0.000], [0.000, 0.000, 7.218]], "species": ["Ba", "Mn", "Te", "N", "N"], "fractional_positions": [[0.000, 0.000, 0.000], [0.500, 0.500, 0.500], [0.000, 0.000, 0.500], [0.000, 0.500, 0.000], [0.500, 0.000, 0.000]]}